Compound: AcPrPtCl
Source: Alexandria
Functional: PBE
Structure: relaxed

Calculated values
Raw formation energy   -1.353 eV/atom
Symmetry   R3m
DOS at the Fermi energy   3.7 states/eV per cell

abc: 8.2519 8.2519 8.2519
angles: 30.09 30.09 30.09
Closest atoms and distances in Å follow each position.
Element x y z (fractional)
Ac: 0.0000 0.0000 0.0000  3 Pt 3.00
Pr: 0.8041 0.8041 0.8041  3 Pt 2.92
Pt: 0.4053 0.4053 0.4053  3 Pr 2.92, 3 Ac 3.00
Cl: 0.2294 0.2294 0.2294  3 Pr 3.29, 3 Ac 3.48

***

Compound: CsH3Br6
Source: Alexandria
Functional: PBE
Structure: relaxed

Calculated values
Symmetry   R3m
DOS at the Fermi energy   4.0 states/eV per cell
Total DFT energy (no corrections)   -24.69 eV for the cell shown

abc: 7.3101 7.3101 7.3101
angles: 102.62 102.62 102.62
Closest atoms and distances in Å follow each position.
Element x y z (fractional)
Cs: 0.0000 0.0000 0.0000  9 Br 3.81-3.85
H: 0.3425 0.6933 0.6933  1 Br 1.50
H: 0.6933 0.3425 0.6933  1 Br 1.50
H: 0.6933 0.6933 0.3425  1 Br 1.50
Br: 0.1744 0.4491 0.4491  1 H 2.14
Br: 0.4399 0.8670 0.8670  1 H 1.50
Br: 0.4491 0.1744 0.4491  1 H 2.14
Br: 0.4491 0.4491 0.1744  1 H 2.14
Br: 0.8670 0.4399 0.8670  1 H 1.50
Br: 0.8670 0.8670 0.4399  1 H 1.50

***

Compound: CoW2I
Source: Alexandria
Functional: PBE
Structure: relaxed

Calculated values
Raw formation energy   1.197 eV/atom
Energy relative to the lowest polymorph listed for this composition   37 meV per atom
Symmetry   I-42d
DOS at the Fermi energy   8.4 states/eV per cell

abc: 10.4102 10.4102 10.4102
angles: 159.37 159.37 29.34
Closest atoms and distances in Å follow each position.
Element x y z (fractional)
Co: 0.0000 0.0000 0.0000  4 I 2.64, 4 W 2.83
Co: 0.7500 0.2500 0.5000  4 I 2.64, 4 W 2.83
W: 0.1129 0.6250 0.9879  4 W 2.57-2.70, 2 Co 2.83, 2 I 2.86
W: 0.3750 0.3629 0.4879  4 W 2.57-2.70, 2 Co 2.83, 2 I 2.86
W: 0.6371 0.1250 0.0121  4 W 2.57-2.70, 2 Co 2.83, 2 I 2.86
W: 0.8750 0.8871 0.5121  4 W 2.57-2.70, 2 Co 2.83, 2 I 2.86
I: 0.2500 0.7500 0.5000  4 Co 2.64, 4 W 2.86
I: 0.5000 0.5000 0.0000  4 Co 2.64, 4 W 2.86

***

Compound: ZrRh2
Source: Alexandria
Functional: PBE
Structure: relaxed

Calculated values
Symmetry   I4_1/amd
DOS at the Fermi energy   4.8 states/eV per cell
Formation enthalpy at 0 K   -0.421 eV per atom

abc: 9.9946 9.9946 9.9946
angles: 160.82 160.82 27.26
Closest atoms and distances in Å follow each position.
Element x y z (fractional)
Zr: 0.3750 0.6250 0.7500  8 Rh 2.75
Zr: 0.6250 0.3750 0.2500  8 Rh 2.75
Rh: 0.0523 0.8023 0.2500  3 Rh 2.63-2.83, 4 Zr 2.75
Rh: 0.1977 0.9477 0.2500  3 Rh 2.63-2.83, 4 Zr 2.75
Rh: 0.8023 0.0523 0.7500  3 Rh 2.63-2.83, 4 Zr 2.75
Rh: 0.9477 0.1977 0.7500  3 Rh 2.63-2.83, 4 Zr 2.75

***

Compound: MgHPd3
Source: Alexandria
Functional: PBE
Structure: relaxed

Calculated values
Energy relative to the lowest polymorph listed for this composition   600 meV per atom
Symmetry   Amm2
DOS at the Fermi energy   2.6 states/eV per cell

abc: 2.7669 7.0005 7.0005
angles: 45.30 90.00 90.00
Closest atoms and distances in Å follow each position.
Element x y z (fractional)
Mg: 0.0000 0.0000 0.0000  4 Pd 2.61-2.62, 2 Mg 2.77
H: 0.5000 0.6527 0.6527  4 Pd 1.97
Pd: 0.0000 0.4215 0.9283  2 H 1.97
Pd: 0.0000 0.9283 0.4215  2 H 1.97
Pd: 0.5000 0.8290 0.8290  1 H 2.28

***

Compound: YTl3
Source: Alexandria
Functional: PBE
Structure: relaxed

Calculated values
Symmetry   Pm-3n
DOS at the Fermi energy   5.6 states/eV per cell
Formation enthalpy at 0 K   -0.053 eV per atom

abc: 6.1329 6.1329 6.1329
angles: 90.00 90.00 90.00
Closest atoms and distances in Å follow each position.
Element x y z (fractional)
Y: 0.0000 0.0000 0.0000  12 Tl 3.43
Y: 0.5000 0.5000 0.5000  12 Tl 3.43
Tl: 0.0000 0.2500 0.5000  2 Tl 3.07, 4 Y 3.43
Tl: 0.0000 0.7500 0.5000  2 Tl 3.07, 4 Y 3.43
Tl: 0.2500 0.5000 0.0000  2 Tl 3.07, 4 Y 3.43
Tl: 0.5000 0.0000 0.2500  2 Tl 3.07, 4 Y 3.43
Tl: 0.5000 0.0000 0.7500  2 Tl 3.07, 4 Y 3.43
Tl: 0.7500 0.5000 0.0000  2 Tl 3.07, 4 Y 3.43

***

Compound: SrPdSe2Br
Source: Alexandria
Functional: PBE
Structure: relaxed

Calculated values
Raw formation energy   -0.809 eV/atom
Energy relative to the lowest polymorph listed for this composition   0 meV per atom
Symmetry   P4/mmm
DOS at the Fermi energy   3.9 states/eV per cell

abc: 5.0479 5.0479 5.1742
angles: 90.00 90.00 90.00
Closest atoms and distances in Å follow each position.
Element x y z (fractional)
Sr: 0.0000 0.0000 0.0000  4 Br 3.57, 8 Se 3.61
Pd: 0.5000 0.5000 0.5000  4 Se 2.52, 2 Br 2.59
Se: 0.0000 0.5000 0.5000  2 Pd 2.52
Se: 0.5000 0.0000 0.5000  2 Pd 2.52
Br: 0.5000 0.5000 0.0000  2 Pd 2.59

***

Compound: Er6CdCo2
Source: Alexandria
Functional: PBE
Structure: relaxed

Calculated values
Energy relative to the lowest polymorph listed for this composition   0 meV per atom
Symmetry   Immm
DOS at the Fermi energy   21.5 states/eV per cell
Formation enthalpy at 0 K   -0.230 eV per atom

abc: 8.2722 8.2722 8.2722
angles: 112.38 109.59 106.49
Closest atoms and distances in Å follow each position.
Element x y z (fractional)
Er: 0.0326 0.2364 0.7962  1 Co 2.68
Er: 0.1835 0.2852 0.4687  3 Co 2.87-3.02, 1 Cd 3.16
Er: 0.1835 0.7148 0.8983  3 Co 2.87-3.02, 1 Cd 3.16
Er: 0.3239 0.0119 0.6880  3 Co 2.70-2.89
Er: 0.3239 0.6358 0.3120  3 Co 2.70-2.89
Er: 0.4402 0.2364 0.2038  1 Co 2.68
Er: 0.5598 0.7636 0.7962  1 Co 2.68
Er: 0.6761 0.3642 0.6880  3 Co 2.70-2.89
Er: 0.6761 0.9881 0.3120  3 Co 2.70-2.89
Er: 0.8165 0.2852 0.1017  3 Co 2.87-3.02, 1 Cd 3.16
Er: 0.8165 0.7148 0.5313  3 Co 2.87-3.02, 1 Cd 3.16
Er: 0.9674 0.7636 0.2038  1 Co 2.68
Cd: 0.0000 0.0000 0.0000  8 Er 3.04-3.16, 2 Co 3.25
Cd: 0.5000 0.5000 0.0000  12 Er 3.25-3.61
Co: 0.1146 0.6146 0.5000  1 Co 2.27
Co: 0.3408 0.0000 0.3408  6 Er 2.68-2.89
Co: 0.6592 0.0000 0.6592  6 Er 2.68-2.89
Co: 0.8854 0.3854 0.5000  1 Co 2.27